Entry from Alexandria: a PBEsol-optimized structure of LiZrMn (SCAN).

Cell lengths 4.1197, 4.1197, 4.1197 Å; angles 60.00, 60.00, 60.00 degrees
Fractional coordinates of all 3 atoms:
Li 0.0000 0.0000 0.0000
Zr 0.2500 0.2500 0.2500
Mn 0.7500 0.7500 0.7500

Computed properties:
Total magnetic moment (Bohr magnetons per cell): 1.686
Space-group type: F-43m
Energy of formation (kJ/mol of atoms): 61
E above lowest polymorph (eV per atom): 0.542
Energy (eV/atom): -16.48
Crystal system: cubic

Entry from Alexandria: a PBEsol-optimized structure of Fe2Ir (SCAN).

Cell lengths 6.7414, 6.7414, 4.0241 Å; angles 90.00, 90.00, 157.86 degrees
Fractional coordinates of all 6 atoms:
Fe 0.0546 0.9454 0.7500
Fe 0.2773 0.7227 0.2500
Fe 0.7227 0.2773 0.7500
Fe 0.9454 0.0546 0.2500
Ir 0.3881 0.6119 0.7500
Ir 0.6119 0.3881 0.2500

Computed properties:
Total magnetic moment (Bohr magnetons per cell): 0.152
Space-group type: Cmcm
Energy of formation (kJ/mol of atoms): -3
Energy (eV/atom): -35.82
Crystal system: orthorhombic

Entry from Alexandria: a PBEsol-optimized structure of ReGe2SbN (SCAN).

Cell lengths 5.0196, 5.0196, 3.7391 Å; angles 90.00, 90.00, 90.00 degrees
Fractional coordinates of all 5 atoms:
Re 0.0000 0.0000 0.0000
Ge 0.0000 0.5000 0.0000
Ge 0.5000 0.0000 0.0000
Sb 0.5000 0.5000 0.5000
N 0.0000 0.0000 0.5000

Computed properties:
Total magnetic moment (Bohr magnetons per cell): 0.000
Space-group type: P4/mmm
E_form (uncorrected) (eV per atom): 0.455
Energy (eV/atom): -30.71
Crystal system: tetragonal

Entry from Alexandria: a PBEsol-optimized structure of Mg2GaHg2 (SCAN).

Cell lengths 7.8419, 7.8419, 3.4081 Å; angles 90.00, 90.00, 90.00 degrees
Fractional coordinates of all 10 atoms:
Mg 0.1637 0.3363 0.0000
Mg 0.3363 0.8363 0.0000
Mg 0.6637 0.1637 0.0000
Mg 0.8363 0.6637 0.0000
Ga 0.0000 0.0000 0.5000
Ga 0.5000 0.5000 0.5000
Hg 0.1375 0.6375 0.5000
Hg 0.3625 0.1375 0.5000
Hg 0.6375 0.8625 0.5000
Hg 0.8625 0.3625 0.5000

Computed properties:
Total magnetic moment (Bohr magnetons per cell): 0.000
Space-group type: P4/mbm
Energy of formation (kJ/mol of atoms): -17
E above lowest polymorph (eV per atom): 0.000
Energy (eV/atom): -32.70
Crystal system: tetragonal

Which of these has the lowest energy?
Fe2Ir